Entry 1:
Here is Na2SmAsSe4 after structural relaxation from Alexandria via LeMat-Bulk. Energies are from GGA-PBE.

The space group is Imma (No. 74) and the conventional cell measures 8.1725, 8.4470 and 11.7584 Å, with angles of 90.00, 90.00 and 90.00 degrees. The inequivalent atoms are Na at (0.0000, 0.0000, 0.0000), Na at (0.2500, 0.2500, 0.2500), Sm at (0.0000, 0.0000, 0.5000), As at (0.2500, 0.2500, 0.7500), Se at (0.0000, 0.0267, 0.7485) and Se at (0.2460, 0.2500, 0.5141).


Entry 2:
Here is NaSnAs2Se after structural relaxation from Alexandria via LeMat-Bulk. Energies are from GGA-PBE.

The energy above the lowest structure with this stoichiometry comes out at 0 meV per atom.

The space group is P4/mmm (No. 123) and the conventional cell measures 5.3207, 5.3207 and 5.4923 Å, with angles of 90.00, 90.00 and 90.00 degrees. The inequivalent atoms are Na at (0.0000, 0.0000, 0.0000), Sn at (0.5000, 0.5000, 0.5000), As at (0.0000, 0.5000, 0.5000) and Se at (0.5000, 0.5000, 0.0000).


Record-wise energy relative to the elements, uncorrected values, in meV/atom: -1074.0; 338.3
Record-wise magnetic moment values, in μB per cell: 0.00; 1.36